The following is a PBE+U calculation of a relaxed TbZnCrO4 crystal, from the Alexandria database.

- total magnetization (μB/f.u.) = 3.000
- VASP energy (eV per atom) = -7.02
- symmetry = No. 74
- N(E_F) (states/eV/f.u.) = 0.00

Cell lengths 6.191, 6.325, 6.325 Å; angles 62.50, 60.70, 60.70 degrees
Last column: magnetic moment on the atom in μB.
Positions (direct):
1 Tb 0.000 0.000 0.000  0.00
2 Tb 0.000 0.500 0.500  0.00
3 Zn 0.615 0.635 0.135  0.01
4 Zn 0.385 0.365 0.865  0.01
5 Cr 0.500 0.000 0.500  2.99
6 Cr 0.000 0.000 0.500  2.99
7 O 0.745 0.789 0.722  -0.04
8 O 0.255 0.778 0.711  -0.04
9 O 0.745 0.222 0.289  -0.04
10 O 0.255 0.211 0.278  -0.04
11 O 0.226 0.769 0.269  -0.01
12 O 0.736 0.769 0.269  -0.01
13 O 0.264 0.231 0.731  -0.01
14 O 0.774 0.231 0.731  -0.01